[1]
First-principles (PBE-GGA) data for a geometry-optimized CrCuAu2 structure, as listed in Alexandria.

Calculated values
Energy relative to the elements (eV per atom): 0.233
D(E_F) (states/eV per cell): 2.6

a b c (Å): 8.7320 8.7320 8.7320
angles (deg): 19.59 19.59 19.59
Closest atoms and distances in Å follow each position.
Element x y z (fractional)
1 Au 0.4980 0.4980 0.4980  3 Cu 2.70, 3 Cr 2.78, 6 Au 2.97
2 Au 0.0020 0.0020 0.0020  3 Cu 2.70, 3 Cr 2.78, 6 Au 2.97
3 Cu 0.7500 0.7500 0.7500  6 Au 2.70, 6 Cu 2.97
4 Cr 0.2500 0.2500 0.2500  6 Au 2.78, 6 Cr 2.97


[2]
First-principles (PBE-GGA) data for a geometry-optimized CrCu4Au2 structure, as listed in Alexandria.

Calculated values
Energy relative to the elements (eV per atom): 0.859
D(E_F) (states/eV per cell): 4.0

a b c (Å): 4.5600 4.5600 7.1304
angles (deg): 71.35 71.35 90.00
Closest atoms and distances in Å follow each position.
Element x y z (fractional)
1 Cu 0.5000 0.0000 0.0000  2 Cr 2.28
2 Cu 0.8087 0.8087 0.3825  1 Cr 2.43, 1 Au 2.50
3 Cu 0.0000 0.5000 0.0000  2 Cr 2.28
4 Cu 0.1913 0.1913 0.6175  1 Cr 2.43, 1 Au 2.50
5 Au 0.6119 0.6119 0.7762  5 Cu 2.50-2.69
6 Au 0.3881 0.3881 0.2238  5 Cu 2.50-2.69
7 Cr 0.0000 0.0000 0.0000  6 Cu 2.28-2.43


[3]
First-principles (PBE-GGA) data for a geometry-optimized CrGaCuAu structure, as listed in Alexandria.

Calculated values
Energy relative to the elements (eV per atom): 0.043
D(E_F) (states/eV per cell): 3.0

a b c (Å): 4.3860 4.3860 4.3860
angles (deg): 60.00 60.00 60.00
Closest atoms and distances in Å follow each position.
Element x y z (fractional)
1 Cu 0.2500 0.2500 0.2500  4 Cr 2.69, 4 Au 2.69
2 Cr 0.0000 0.0000 0.0000  4 Cu 2.69, 4 Ga 2.69
3 Au 0.5000 0.5000 0.5000  4 Ga 2.69, 4 Cu 2.69
4 Ga 0.7500 0.7500 0.7500  4 Cr 2.69, 4 Au 2.69


[4]
First-principles (PBE-GGA) data for a geometry-optimized CrInCuAu2 structure, as listed in Alexandria.

Calculated values
Energy relative to the elements (eV per atom): 0.950
D(E_F) (states/eV per cell): 3.3

a b c (Å): 4.9821 5.1383 4.9821
angles (deg): 90.00 90.00 90.00
Closest atoms and distances in Å follow each position.
Element x y z (fractional)
1 Cr 0.0000 0.0000 0.0000  4 Au 2.49, 2 In 2.57
2 Au 0.0000 0.0000 0.5000  2 Cr 2.49
3 Au 0.5000 0.0000 0.0000  2 Cr 2.49
4 Cu 0.5000 0.5000 0.5000  4 In 3.52, 8 Au 3.58
5 In 0.0000 0.5000 0.0000  2 Cr 2.57


[5]
First-principles (PBE-GGA) data for a geometry-optimized MgCr2CuAu structure, as listed in Alexandria.

Calculated values
Energy relative to the elements (eV per atom): 0.952
D(E_F) (states/eV per cell): 3.4

a b c (Å): 5.0084 4.7985 5.0084
angles (deg): 90.00 90.00 90.00
Closest atoms and distances in Å follow each position.
Element x y z (fractional)
1 Cu 0.0000 0.5000 0.0000  2 Au 2.40
2 Au 0.0000 0.0000 0.0000  2 Cu 2.40, 4 Cr 2.50
3 Cr 0.0000 0.0000 0.5000  2 Au 2.50
4 Cr 0.5000 0.0000 0.0000  2 Au 2.50
5 Mg 0.5000 0.5000 0.5000  8 Cr 3.47, 4 Cu 3.54


[6]
First-principles (PBE-GGA) data for a geometry-optimized Cr2CuOsAu structure, as listed in Alexandria.

Calculated values
Energy relative to the elements (eV per atom): 2.349
D(E_F) (states/eV per cell): 11.8

a b c (Å): 4.5988 4.5135 4.5988
angles (deg): 90.00 90.00 90.00
Closest atoms and distances in Å follow each position.
Element x y z (fractional)
1 Au 0.0000 0.0000 0.0000  2 Cu 2.26, 4 Cr 2.30
2 Cu 0.0000 0.5000 0.0000  2 Au 2.26
3 Os 0.5000 0.5000 0.5000  8 Cr 3.22, 4 Cu 3.25
4 Cr 0.5000 0.0000 0.0000  2 Au 2.30
5 Cr 0.0000 0.0000 0.5000  2 Au 2.30


[7]
First-principles (PBE-GGA) data for a geometry-optimized Cr2CuPAu structure, as listed in Alexandria.

Calculated values
Energy relative to the elements (eV per atom): 1.104
D(E_F) (states/eV per cell): 4.6

a b c (Å): 4.6545 4.6248 4.6545
angles (deg): 90.00 90.00 90.00
Closest atoms and distances in Å follow each position.
Element x y z (fractional)
1 Cr 0.0000 0.0000 0.5000  2 Cu 2.33
2 Cr 0.5000 0.0000 0.0000  2 Cu 2.33
3 Au 0.0000 0.5000 0.0000  2 Cu 2.31
4 Cu 0.0000 0.0000 0.0000  2 Au 2.31, 4 Cr 2.33
5 P 0.5000 0.5000 0.5000  8 Cr 3.28, 4 Au 3.29


[8]
First-principles (PBE-GGA) data for a geometry-optimized CrCuPtAu2 structure, as listed in Alexandria.

Calculated values
Energy relative to the elements (eV per atom): 1.383
D(E_F) (states/eV per cell): 6.0

a b c (Å): 4.7366 4.3540 4.7366
angles (deg): 90.00 90.00 90.00
Closest atoms and distances in Å follow each position.
Element x y z (fractional)
1 Cu 0.0000 0.5000 0.0000  2 Cr 2.18
2 Cr 0.0000 0.0000 0.0000  2 Cu 2.18, 4 Au 2.37
3 Au 0.0000 0.0000 0.5000  2 Cr 2.37
4 Au 0.5000 0.0000 0.0000  2 Cr 2.37
5 Pt 0.5000 0.5000 0.5000  8 Au 3.22, 4 Cu 3.35


[9]
First-principles (PBE-GGA) data for a geometry-optimized ScCrCuAu2 structure, as listed in Alexandria.

Calculated values
Energy relative to the elements (eV per atom): 0.482
D(E_F) (states/eV per cell): 4.5

a b c (Å): 4.8178 4.5721 4.8178
angles (deg): 90.00 90.00 90.00
Closest atoms and distances in Å follow each position.
Element x y z (fractional)
1 Cr 0.5000 0.5000 0.5000  8 Au 3.32, 4 Sc 3.41
2 Au 0.5000 0.0000 0.0000  2 Cu 2.41
3 Au 0.0000 0.0000 0.5000  2 Cu 2.41
4 Sc 0.0000 0.5000 0.0000  2 Cu 2.29
5 Cu 0.0000 0.0000 0.0000  2 Sc 2.29, 4 Au 2.41


[10]
First-principles (PBE-GGA) data for a geometry-optimized Cr2CuAuSe structure, as listed in Alexandria.

Calculated values
D(E_F) (states/eV per cell): 2.6
VASP energy (eV per atom): -5.45

a b c (Å): 4.7460 4.7460 4.4427
angles (deg): 90.00 90.00 90.00
Closest atoms and distances in Å follow each position.
Element x y z (fractional)
1 Se 0.0000 0.0000 0.0000  2 Cu 2.22, 4 Cr 2.37
2 Cu 0.0000 0.0000 0.5000  2 Se 2.22
3 Cr 0.5000 0.0000 0.0000  2 Se 2.37
4 Cr 0.0000 0.5000 0.0000  2 Se 2.37
5 Au 0.5000 0.5000 0.5000  8 Cr 3.25, 4 Cu 3.36


[11]
First-principles (PBE-GGA) data for a geometry-optimized ZnCrCuAu structure, as listed in Alexandria.

Calculated values
Energy relative to the elements (eV per atom): 0.066
D(E_F) (states/eV per cell): 2.0

a b c (Å): 4.3662 4.3662 4.3662
angles (deg): 60.00 60.00 60.00
Closest atoms and distances in Å follow each position.
Element x y z (fractional)
1 Cr 0.5000 0.5000 0.5000  4 Cu 2.67, 4 Zn 2.67
2 Zn 0.7500 0.7500 0.7500  4 Cr 2.67, 4 Au 2.67
3 Cu 0.2500 0.2500 0.2500  4 Cr 2.67, 4 Au 2.67
4 Au 0.0000 0.0000 0.0000  4 Cu 2.67, 4 Zn 2.67